No. 1
Density functional theory data (PBE) for HoMoPd after structural relaxation.

Output
- formation enthalpy at 0 K (eV per atom) = 0.411

Cell: 4.5376 4.5376 4.5376 Å, 60.00 60.00 60.00°
Element x y z (fractional)
Ho 0.0000 0.0000 0.0000
Mo 0.5000 0.5000 0.5000
Pd 0.2500 0.2500 0.2500

***

No. 2
Density functional theory data (PBE) for Cs2Sm4Cu4Se9 after structural relaxation.

Output
- total energy (eV/cell) = -91.2

Cell: 7.6999 7.6999 17.0173 Å, 107.79 107.79 31.64°
Element x y z (fractional)
Cs 0.0295 0.0295 0.2711
Cs 0.9705 0.9705 0.7289
Sm 0.2297 0.2297 0.1015
Sm 0.3463 0.3463 0.4453
Sm 0.6537 0.6537 0.5547
Sm 0.7703 0.7703 0.8985
Cu 0.2458 0.2458 0.7290
Cu 0.4259 0.4259 0.0308
Cu 0.5741 0.5741 0.9692
Cu 0.7542 0.7542 0.2710
Se 0.0000 0.0000 0.5000
Se 0.1373 0.1373 0.9246
Se 0.2952 0.2952 0.6004
Se 0.3404 0.3404 0.2747
Se 0.3962 0.3962 0.8765
Se 0.6038 0.6038 0.1235
Se 0.6596 0.6596 0.7253
Se 0.7048 0.7048 0.3996
Se 0.8627 0.8627 0.0754

***

No. 3
Density functional theory data (PBE) for NdAlZnGa2 after structural relaxation.

Output
- total energy (eV/cell) = -18.2

Cell: 6.2582 6.2582 6.2582 Å, 140.71 140.71 56.78°
Element x y z (fractional)
Nd 0.0000 0.0000 0.0000
Al 0.7500 0.2500 0.5000
Zn 0.2500 0.7500 0.5000
Ga 0.3879 0.3879 0.0000
Ga 0.6121 0.6121 0.0000

***

No. 4
Density functional theory data (PBE) for TmUAu after structural relaxation.

Output
- formation enthalpy at 0 K (eV per atom) = 0.657

Cell: 4.8470 4.8470 4.8470 Å, 60.00 60.00 60.00°
Element x y z (fractional)
Tm 0.0000 0.0000 0.0000
U 0.2500 0.2500 0.2500
Au 0.5000 0.5000 0.5000

***

No. 5
Density functional theory data (PBE) for Y3Al3GePd2 after structural relaxation.

Output
- total energy (eV/cell) = -52.3

Cell: 7.4396 7.4396 3.8526 Å, 90.00 90.00 120.00°
Element x y z (fractional)
Y 0.0000 0.6009 0.0000
Y 0.3991 0.3991 0.0000
Y 0.6009 0.0000 0.0000
Al 0.0000 0.2629 0.5000
Al 0.2629 0.0000 0.5000
Al 0.7371 0.7371 0.5000
Ge 0.0000 0.0000 0.0000
Pd 0.3333 0.6667 0.5000
Pd 0.6667 0.3333 0.5000

***

No. 6
Density functional theory data (PBE) for RbW3I7 after structural relaxation.

Output
- total energy (eV/cell) = -221.1

Cell: 10.8510 10.8510 16.9194 Å, 90.00 90.00 120.00°
Element x y z (fractional)
Rb 0.0000 0.0000 0.0000
Rb 0.0000 0.0000 0.5000
Rb 0.3333 0.6667 0.2500
Rb 0.6667 0.3333 0.7500
W 0.1899 0.5242 0.8145
W 0.1899 0.6657 0.6855
W 0.3343 0.5242 0.6855
W 0.3343 0.8101 0.8145
W 0.4758 0.6657 0.8145
W 0.4758 0.8101 0.6855
W 0.5242 0.1899 0.3145
W 0.5242 0.3343 0.1855
W 0.6657 0.1899 0.1855
W 0.6657 0.4758 0.3145
W 0.8101 0.3343 0.3145
W 0.8101 0.4758 0.1855
I 0.0327 0.3402 0.4100
I 0.0327 0.6926 0.0900
I 0.0339 0.3639 0.6799
I 0.0339 0.6700 0.8201
I 0.3074 0.3402 0.0900
I 0.3074 0.9673 0.4100
I 0.3300 0.3639 0.8201
I 0.3300 0.9661 0.6799
I 0.3333 0.6667 0.5468
I 0.3333 0.6667 0.9532
I 0.3402 0.0327 0.9100
I 0.3402 0.3074 0.5900
I 0.3639 0.0339 0.1799
I 0.3639 0.3300 0.3201
I 0.6361 0.6700 0.6799
I 0.6361 0.9661 0.8201
I 0.6598 0.6926 0.4100
I 0.6598 0.9673 0.0900
I 0.6667 0.3333 0.0468
I 0.6667 0.3333 0.4532
I 0.6700 0.0339 0.3201
I 0.6700 0.6361 0.1799
I 0.6926 0.0327 0.5900
I 0.6926 0.6598 0.9100
I 0.9661 0.3300 0.1799
I 0.9661 0.6361 0.3201
I 0.9673 0.3074 0.9100
I 0.9673 0.6598 0.5900

***

Which formula does entry 1 have? HoMoPd